Here is a relaxed structure of UCdTe2 from Alexandria via LeMat-Bulk. Energies are from PBE-GGA.

Output
Space-group type: P4/mmm
E above lowest polymorph, meV/atom: 81.2
Formation energy (no corrections), meV/atom: -330

Cell: 5.1798 5.1798 3.9081 Å, 90.00 90.00 90.00°
Closest atoms and distances in Å follow each position.
Positions (direct):
U 0.0000 0.0000 0.0000  8 Te 3.24
Cd 0.5000 0.5000 0.0000  8 Te 3.24
Te 0.0000 0.5000 0.5000  4 Cd 3.24, 4 U 3.24
Te 0.5000 0.0000 0.5000  4 Cd 3.24, 4 U 3.24



Here is a relaxed structure of UCdTe2 from Alexandria via LeMat-Bulk. Energies are from PBE-GGA.

Output
Space-group type: R3m
E above lowest polymorph, meV/atom: 101.1
Formation energy (no corrections), meV/atom: -310

Cell: 4.1906 4.1906 27.8062 Å, 90.00 90.00 120.00°
Closest atoms and distances in Å follow each position.
Positions (direct):
U 0.0000 0.0000 0.0000  6 Te 3.05-3.06
U 0.3333 0.6667 0.6667  6 Te 3.05-3.06
U 0.6667 0.3333 0.3333  6 Te 3.05-3.06
Cd 0.0000 0.0000 0.8308  6 Te 3.62-3.74
Cd 0.3333 0.6667 0.4974  6 Te 3.62-3.74
Cd 0.6667 0.3333 0.1641  6 Te 3.62-3.74
Te 0.0000 0.0000 0.4007  3 U 3.06
Te 0.0000 0.0000 0.5999  3 U 3.05
Te 0.3333 0.6667 0.0674  3 U 3.06
Te 0.3333 0.6667 0.2665  3 U 3.05
Te 0.6667 0.3333 0.7340  3 U 3.06
Te 0.6667 0.3333 0.9332  3 U 3.05



Here is a relaxed structure of UCdTe2 from Alexandria via LeMat-Bulk. Energies are from PBE-GGA.

Output
Space-group type: P4/mmm
E above lowest polymorph, meV/atom: 0.0
Formation energy (no corrections), meV/atom: -411

Cell: 3.8329 3.8329 7.4101 Å, 90.00 90.00 90.00°
Closest atoms and distances in Å follow each position.
Positions (direct):
U 0.0000 0.0000 0.0000  8 Te 3.20
Cd 0.0000 0.0000 0.5000  8 Te 3.37, 2 U 3.71
Te 0.5000 0.5000 0.2298  4 U 3.20, 4 Cd 3.37, 1 Te 3.41
Te 0.5000 0.5000 0.7702  4 U 3.20, 4 Cd 3.37, 1 Te 3.41